1.
Mg4SiSe (PBE-GGA, optimized geometry); calculated volume = 21.3 Å³ per atom; energy = -2.37 eV/atom; formation energy from raw total energies = 0.1798 eV per atom; DOS at the Fermi energy = 2.011 states/eV/f.u.; symmetry = F-43m, No. 216
1.0
0.000 3.999 3.999
3.999 0.000 3.999
3.999 3.999 0.000
Mg Si Se
4 1 1
direct
0.125 0.125 0.125
0.125 0.125 0.624
0.125 0.624 0.125
0.624 0.125 0.125
0.500 0.500 0.500
0.750 0.750 0.750

=====

2.
MgSi2Se (PBE-GGA, optimized geometry); calculated volume = 19.2 Å³ per atom; energy = -3.74 eV/atom; formation energy from raw total energies = 0.2435 eV per atom; DOS at the Fermi energy = 1.246 states/eV/f.u.; ΔE to the lowest computed polymorph = 620 meV per atom; symmetry = Pmmm, No. 47
1.0
3.553 0.000 0.000
0.000 4.292 0.000
0.000 0.000 5.043
Mg Si Se
1 2 1
direct
0.000 0.000 0.000
0.500 0.500 0.243
0.500 0.500 0.757
0.000 0.000 0.500